[1]
# PBE-GGA CaSm2Mg5, relaxed
# energy = -2.49 eV/atom
# density = 3.47 g cm⁻³
# formation energy = -0.06 eV/atom
# volume = 221 Å³/f.u.
data_CaSm2Mg5
_cell_length_a 5.017
_cell_length_b 5.017
_cell_length_c 17.590
_cell_angle_alpha 90.00
_cell_angle_beta 90.00
_cell_angle_gamma 90.00
_space_group_name_H-M_alt 'I 4/m m m'
_space_group_IT_number 139
_space_group_name_Hall '-I 4 2'
loop_
_atom_site_label
_atom_site_type_symbol
_atom_site_fract_x
_atom_site_fract_y
_atom_site_fract_z
_atom_site_occupancy
Ca1 Ca 0.000 0.000 0.000 1
Sm1 Sm 0.000 0.000 0.258 1
Mg1 Mg 0.000 0.000 0.500 1
Mg2 Mg 0.000 0.500 0.121 1

[2]
# PBE-GGA Sr2Zn15Ga2, relaxed
# energy = -1.68 eV/atom
# density = 6.51 g cm⁻³
# formation energy = -0.18 eV/atom
# volume = 331 Å³/f.u.
data_Sr2Zn15Ga2
_cell_length_a 9.2685
_cell_length_b 9.2685
_cell_length_c 13.3283
_cell_angle_alpha 90.00
_cell_angle_beta 90.00
_cell_angle_gamma 120.00
_space_group_name_H-M_alt 'R -3 m'
_space_group_IT_number 166
_space_group_name_Hall '-R 3 2"'
loop_
_atom_site_label
_atom_site_type_symbol
_atom_site_fract_x
_atom_site_fract_y
_atom_site_fract_z
_atom_site_occupancy
Sr1 Sr 0.0000 0.0000 0.1636 1
Zn1 Zn 0.0000 0.2993 0.5000 1
Zn2 Zn 0.0000 0.5000 0.0000 1
Zn3 Zn 0.0101 0.5051 0.6564 1
Ga1 Ga 0.0000 0.0000 0.4024 1

[3]
# PBE-GGA Cr2PtW, relaxed
# energy = -9.50 eV/atom
# distance to the lowest polymorph of the same formula = 68 meV per atom
# density = 14.02 g cm⁻³
# formation energy = 0.06 eV/atom
# volume = 57 Å³/f.u.
data_Cr2PtW
_cell_length_a 3.124
_cell_length_b 3.124
_cell_length_c 5.860
_cell_angle_alpha 90.00
_cell_angle_beta 90.00
_cell_angle_gamma 90.00
_space_group_name_H-M_alt 'P 4/m m m'
_space_group_IT_number 123
_space_group_name_Hall '-P 4 2'
loop_
_atom_site_label
_atom_site_type_symbol
_atom_site_fract_x
_atom_site_fract_y
_atom_site_fract_z
_atom_site_occupancy
Cr1 Cr 0.000 0.000 0.241 1
Pt1 Pt 0.500 0.500 0.500 1
W1 W 0.500 0.500 0.000 1

[4]
# PBE-GGA BeAg3Sb, relaxed
# energy = -2.94 eV/atom
# formation energy from raw total energies = 0.344 eV/atom
# distance to the lowest polymorph of the same formula = 0 meV per atom
# density = 7.93 g cm⁻³
# volume = 95 Å³/f.u.
data_BeAg3Sb
_cell_length_a 4.566
_cell_length_b 4.566
_cell_length_c 4.566
_cell_angle_alpha 90.00
_cell_angle_beta 90.00
_cell_angle_gamma 90.00
_space_group_name_H-M_alt 'P m -3 m'
_space_group_IT_number 221
_space_group_name_Hall '-P 4 2 3'
loop_
_atom_site_label
_atom_site_type_symbol
_atom_site_fract_x
_atom_site_fract_y
_atom_site_fract_z
_atom_site_occupancy
Be1 Be 0.000 0.000 0.000 1
Ag1 Ag 0.000 0.000 0.500 1
Sb1 Sb 0.500 0.500 0.500 1

[5]
# PBE-GGA TlHg12, relaxed
# energy = -0.29 eV/atom
# distance to the lowest polymorph of the same formula = 0 meV per atom
# density = 8.04 g cm⁻³
# formation energy = 0.17 eV/atom
# volume = 539 Å³/f.u.
data_TlHg12
_cell_length_a 12.922
_cell_length_b 12.922
_cell_length_c 12.922
_cell_angle_alpha 90.00
_cell_angle_beta 90.00
_cell_angle_gamma 90.00
_space_group_name_H-M_alt 'F m -3 m'
_space_group_IT_number 225
_space_group_name_Hall '-F 4 2 3'
loop_
_atom_site_label
_atom_site_type_symbol
_atom_site_fract_x
_atom_site_fract_y
_atom_site_fract_z
_atom_site_occupancy
Tl1 Tl 0.000 0.000 0.000 1
Hg1 Hg 0.000 0.170 0.330 1

[6]
# PBE-GGA Li2MoAs, relaxed
# energy = -4.91 eV/atom
# density = 4.93 g cm⁻³
# formation energy = -0.08 eV/atom
# volume = 62 Å³/f.u.
data_Li2MoAs
_cell_length_a 3.293
_cell_length_b 3.293
_cell_length_c 5.731
_cell_angle_alpha 90.00
_cell_angle_beta 90.00
_cell_angle_gamma 90.00
_space_group_name_H-M_alt 'P 4 m m'
_space_group_IT_number 99
loop_
_space_group_symop_operation_xyz
'x,y,z'
'-y,x,z'
'-x,-y,z'
'y,-x,z'
'-x,y,z'
'y,x,z'
'x,-y,z'
'-y,-x,z'
loop_
_atom_site_label
_atom_site_type_symbol
_atom_site_fract_x
_atom_site_fract_y
_atom_site_fract_z
_atom_site_occupancy
Li1 Li 0.000 0.000 0.000 1
Li2 Li 0.500 0.500 0.241 1
Mo1 Mo 0.000 0.000 0.518 1
As1 As 0.500 0.500 0.710 1

[7]
# PBE-GGA Cr2HgW, relaxed
# energy = -7.40 eV/atom
# density = 13.39 g cm⁻³
# formation energy = 0.73 eV/atom
# volume = 61 Å³/f.u.
data_Cr2HgW
_cell_length_a 5.524
_cell_length_b 8.664
_cell_length_c 2.678
_cell_angle_alpha 90.00
_cell_angle_beta 109.15
_cell_angle_gamma 90.00
_space_group_name_H-M_alt 'C 1 2/m 1'
_space_group_IT_number 12
loop_
_space_group_symop_operation_xyz
'x,y,z'
'-x,-y,-z'
'-x,y,-z'
'x,-y,z'
'x+1/2,y+1/2,z'
'-x+1/2,-y+1/2,-z'
'-x+1/2,y+1/2,-z'
'x+1/2,-y+1/2,z'
loop_
_atom_site_label
_atom_site_type_symbol
_atom_site_fract_x
_atom_site_fract_y
_atom_site_fract_z
_atom_site_occupancy
Cr1 Cr 0.250 0.250 0.000 1
Hg1 Hg 0.000 0.000 0.500 1
W1 W 0.000 0.500 0.500 1

[8]
# PBE-GGA NaZrCl3, relaxed
# energy = -3.70 eV/atom
# formation energy from raw total energies = -0.616 eV/atom
# distance to the lowest polymorph of the same formula = 668 meV per atom
# density = 3.00 g cm⁻³
# volume = 122 Å³/f.u.
data_NaZrCl3
_cell_length_a 4.963
_cell_length_b 4.963
_cell_length_c 4.963
_cell_angle_alpha 90.00
_cell_angle_beta 90.00
_cell_angle_gamma 90.00
_space_group_name_H-M_alt 'P m -3 m'
_space_group_IT_number 221
_space_group_name_Hall '-P 4 2 3'
loop_
_atom_site_label
_atom_site_type_symbol
_atom_site_fract_x
_atom_site_fract_y
_atom_site_fract_z
_atom_site_occupancy
Na1 Na 0.000 0.000 0.000 1
Zr1 Zr 0.500 0.500 0.500 1
Cl1 Cl 0.000 0.000 0.500 1

[9]
# PBE-GGA ScTaTlBr2, relaxed
# energy = -4.50 eV/atom
# formation energy from raw total energies = 0.276 eV/atom
# distance to the lowest polymorph of the same formula = 0 meV per atom
# density = 6.70 g cm⁻³
# volume = 146 Å³/f.u.
data_ScTaTlBr2
_cell_length_a 5.034
_cell_length_b 5.034
_cell_length_c 5.771
_cell_angle_alpha 90.00
_cell_angle_beta 90.00
_cell_angle_gamma 90.00
_space_group_name_H-M_alt 'P 4/m m m'
_space_group_IT_number 123
_space_group_name_Hall '-P 4 2'
loop_
_atom_site_label
_atom_site_type_symbol
_atom_site_fract_x
_atom_site_fract_y
_atom_site_fract_z
_atom_site_occupancy
Sc1 Sc 0.000 0.000 0.000 1
Ta1 Ta 0.000 0.000 0.500 1
Tl1 Tl 0.500 0.500 0.000 1
Br1 Br 0.000 0.500 0.500 1

[10]
# PBE-GGA Nd4CSeCl2, relaxed
# energy = -5.76 eV/atom
# formation energy from raw total energies = -1.325 eV/atom
# density = 6.25 g cm⁻³
# volume = 196 Å³/f.u.
data_Nd4CSeCl2
_cell_length_a 7.231
_cell_length_b 3.941
_cell_length_c 7.249
_cell_angle_alpha 90.00
_cell_angle_beta 108.20
_cell_angle_gamma 90.00
_space_group_name_H-M_alt 'P 1 2/m 1'
_space_group_IT_number 10
loop_
_space_group_symop_operation_xyz
'x,y,z'
'-x,-y,-z'
'-x,y,-z'
'x,-y,z'
loop_
_atom_site_label
_atom_site_type_symbol
_atom_site_fract_x
_atom_site_fract_y
_atom_site_fract_z
_atom_site_occupancy
Nd1 Nd 0.203 0.000 0.202 1
Nd2 Nd 0.214 0.500 0.785 1
C1 C 0.000 0.500 0.000 1
Se1 Se 0.000 0.000 0.500 1
Cl1 Cl 0.500 0.000 0.000 1
Cl2 Cl 0.500 0.500 0.500 1

[11]
# PBE-GGA RbUBeS3, relaxed
# energy = -5.93 eV/atom
# formation energy from raw total energies = -1.201 eV/atom
# density = 4.57 g cm⁻³
# volume = 156 Å³/f.u.
data_RbUBeS3
_cell_length_a 9.299
_cell_length_b 3.818
_cell_length_c 9.388
_cell_angle_alpha 90.00
_cell_angle_beta 110.66
_cell_angle_gamma 90.00
_space_group_name_H-M_alt 'P 1 21/m 1'
_space_group_IT_number 11
loop_
_space_group_symop_operation_xyz
'x,y,z'
'-x,-y,-z'
'-x,y+1/2,-z'
'x,-y+1/2,z'
loop_
_atom_site_label
_atom_site_type_symbol
_atom_site_fract_x
_atom_site_fract_y
_atom_site_fract_z
_atom_site_occupancy
Rb1 Rb 0.237 0.250 0.201 1
U1 U 0.147 0.250 0.662 1
Be1 Be 0.394 0.750 0.922 1
S1 S 0.160 0.750 0.882 1
S2 S 0.166 0.750 0.461 1
S3 S 0.468 0.250 0.842 1

[12]
# PBE-GGA Ac4Tl3Pb5, relaxed
# energy = -3.63 eV/atom
# density = 8.71 g cm⁻³
# formation energy = -0.12 eV/atom
# volume = 488 Å³/f.u.
data_Ac4Tl3Pb5
_cell_length_a 14.858
_cell_length_b 5.559
_cell_length_c 13.703
_cell_angle_alpha 90.00
_cell_angle_beta 120.49
_cell_angle_gamma 90.00
_space_group_name_H-M_alt 'C 1 2/m 1'
_space_group_IT_number 12
loop_
_space_group_symop_operation_xyz
'x,y,z'
'-x,-y,-z'
'-x,y,-z'
'x,-y,z'
'x+1/2,y+1/2,z'
'-x+1/2,-y+1/2,-z'
'-x+1/2,y+1/2,-z'
'x+1/2,-y+1/2,z'
loop_
_atom_site_label
_atom_site_type_symbol
_atom_site_fract_x
_atom_site_fract_y
_atom_site_fract_z
_atom_site_occupancy
Ac1 Ac 0.069 0.000 0.301 1
Ac2 Ac 0.144 0.000 0.020 1
Tl1 Tl 0.000 0.500 0.500 1
Tl2 Tl 0.248 0.500 0.416 1
Pb1 Pb 0.000 0.000 0.500 1
Pb2 Pb 0.095 0.500 0.822 1
Pb3 Pb 0.097 0.500 0.143 1